(1)
Compound: KCr2OsN
Source: Alexandria via LeMat-Bulk
Functional: PBE-GGA
Structure: relaxed

Output
Formation energy without anion corrections = 4276 meV/atom
Final energy = -3.70 eV per atom
Theoretical density = 7.3 Mg/m³

Unit cell a=4.1297 b=4.1297 c=4.6053 alpha=90.00 beta=90.00 gamma=90.00
Fractional positions:
K1 0.0000 0.0000 0.0000
Cr1 0.0000 0.5000 0.0000
Cr2 0.5000 0.0000 0.0000
Os1 0.0000 0.0000 0.5000
N1 0.5000 0.5000 0.5000

---

(2)
Compound: K2PaCr2N6
Source: Alexandria via LeMat-Bulk
Functional: PBE-GGA
Structure: relaxed

Output
Formation energy without anion corrections = -501 meV/atom
Final energy = -7.85 eV per atom
Theoretical density = 4.4 Mg/m³

Unit cell a=6.0281 b=6.0281 c=6.9551 alpha=115.76 beta=115.76 gamma=59.96
Fractional positions:
K1 0.2197 0.2197 0.1615
K2 0.7803 0.7803 0.8385
Pa1 0.0000 0.0000 0.5000
Cr1 0.4307 0.4307 0.7893
Cr2 0.5693 0.5693 0.2107
N1 0.2500 0.2500 0.7218
N2 0.2509 0.7274 0.7258
N3 0.2726 0.7491 0.2742
N4 0.7274 0.2509 0.7258
N5 0.7491 0.2726 0.2742
N6 0.7500 0.7500 0.2782

---

(3)
Compound: KPaCrN4
Source: Alexandria via LeMat-Bulk
Functional: PBE-GGA
Structure: relaxed

Output
Formation energy without anion corrections = -828 meV/atom
Final energy = -8.47 eV per atom
Theoretical density = 5.3 Mg/m³

Unit cell a=5.8302 b=5.5648 c=7.6499 alpha=90.00 beta=105.74 gamma=90.00
Fractional positions:
K1 0.2050 0.2500 0.4259
K2 0.7950 0.7500 0.5741
Pa1 0.2680 0.2500 0.9430
Pa2 0.7320 0.7500 0.0570
Cr1 0.2642 0.7500 0.1621
Cr2 0.7358 0.2500 0.8379
N1 0.0575 0.7500 0.2893
N2 0.0671 0.7500 0.9509
N3 0.4601 0.5098 0.1727
N4 0.4601 0.9902 0.1727
N5 0.5399 0.0098 0.8273
N6 0.5399 0.4902 0.8273
N7 0.9329 0.2500 0.0491
N8 0.9425 0.2500 0.7107

---

(4)
Compound: KPa2CrN5
Source: Alexandria via LeMat-Bulk
Functional: PBE-GGA
Structure: relaxed

Output
Formation energy without anion corrections = -1013 meV/atom
Final energy = -8.94 eV per atom
Theoretical density = 8.3 Mg/m³

Unit cell a=7.2839 b=7.2839 c=7.2839 alpha=125.04 beta=125.04 gamma=81.47
Fractional positions:
K1 0.2500 0.2500 0.0000
K2 0.7500 0.7500 0.0000
Pa1 0.1863 0.6863 0.8725
Pa2 0.3137 0.1863 0.5000
Pa3 0.6863 0.8137 0.5000
Pa4 0.8137 0.3137 0.1275
Cr1 0.2500 0.7500 0.5000
Cr2 0.7500 0.2500 0.5000
N1 0.0000 0.0000 0.0000
N2 0.0027 0.2308 0.5000
N3 0.2308 0.7308 0.2281
N4 0.2692 0.4973 0.5000
N5 0.4973 0.9973 0.2281
N6 0.5000 0.5000 0.0000
N7 0.5027 0.0027 0.7719
N8 0.7308 0.5027 0.5000
N9 0.7692 0.2692 0.7719
N10 0.9973 0.7692 0.5000

---

(5)
Compound: K2PmCr2N4
Source: Alexandria via LeMat-Bulk
Functional: PBE-GGA
Structure: relaxed

Output
Formation energy without anion corrections = -565 meV/atom
Final energy = -7.17 eV per atom
Theoretical density = 4.2 Mg/m³

Unit cell a=6.9825 b=6.9825 c=6.9604 alpha=112.43 beta=112.43 gamma=28.83
Fractional positions:
K1 0.1274 0.1274 0.0418
K2 0.8726 0.8726 0.9582
Pm1 0.0000 0.0000 0.5000
Cr1 0.3199 0.3199 0.5258
Cr2 0.6801 0.6801 0.4742
N1 0.2033 0.2033 0.6155
N2 0.4540 0.4540 0.7039
N3 0.5460 0.5460 0.2961
N4 0.7967 0.7967 0.3845

---

(6)
Compound: KPm2Cr2N6
Source: Alexandria via LeMat-Bulk
Functional: PBE-GGA
Structure: relaxed

Output
Formation energy without anion corrections = -571 meV/atom
Final energy = -7.83 eV per atom
Theoretical density = 4.3 Mg/m³

Unit cell a=6.1092 b=6.4667 c=6.5502 alpha=93.72 beta=116.72 gamma=114.82
Fractional positions:
K1 0.0000 0.0000 0.0000
Pm1 0.3870 0.2927 0.6827
Pm2 0.6130 0.7073 0.3173
Cr1 0.2165 0.6769 0.6727
Cr2 0.7835 0.3231 0.3273
N1 0.1264 0.8937 0.6717
N2 0.2571 0.5408 0.8899
N3 0.4443 0.6917 0.5847
N4 0.5557 0.3083 0.4153
N5 0.7429 0.4592 0.1101
N6 0.8736 0.1063 0.3283